No. 1
{"formula": "La2Tb3PuSe6", "functional": "GGA-PBE", "state": "relaxed", "final_energy_ev_per_atom": -6.738, "volume_a3_per_cell": 309.1, "raw_formation_energy_ev_per_atom": -1.8230, "cell": [[-3.777, 1.254, 1.174], [-3.481, -5.587, -5.231], [2.793, -5.229, 7.242]], "species": ["Se", "Se", "Se", "Se", "Se", "Se", "Tb", "Tb", "Tb", "La", "La", "Pu"], "frac_coords": [[0.995, 0.251, 0.991], [0.663, 0.593, 0.327], [0.337, 0.407, 0.673], [0.005, 0.749, 0.009], [0.333, 0.927, 0.666], [0.667, 0.073, 0.334], [0.168, 0.836, 0.335], [0.832, 0.164, 0.665], [0.500, 0.500, 0.000], [0.835, 0.668, 0.670], [0.165, 0.332, 0.330], [0.500, 0.000, 0.000]]}

---

No. 2
{"formula": "La3TbPu2Se6", "functional": "GGA-PBE", "state": "relaxed", "final_energy_ev_per_atom": -7.562, "volume_a3_per_cell": 319.5, "raw_formation_energy_ev_per_atom": -1.8129, "cell": [[7.291, -0.002, 0.001], [-3.645, 6.314, 0.001], [-1.215, -2.104, 6.941]], "species": ["Tb", "Pu", "Pu", "La", "La", "La", "Se", "Se", "Se", "Se", "Se", "Se"], "frac_coords": [[0.000, 0.000, 0.000], [0.666, 0.334, 0.000], [0.334, 0.666, 0.000], [0.500, 0.500, 0.500], [0.168, 0.832, 0.500], [0.832, 0.168, 0.500], [0.590, 0.922, 0.764], [0.410, 0.078, 0.236], [0.252, 0.252, 0.762], [0.078, 0.410, 0.236], [0.748, 0.748, 0.238], [0.922, 0.590, 0.764]]}

---

No. 3
{"formula": "La2TbPu3Se6", "functional": "GGA-PBE", "state": "relaxed", "final_energy_ev_per_atom": -8.265, "volume_a3_per_cell": 313.3, "raw_formation_energy_ev_per_atom": -1.7325, "cell": [[-1.598, -1.315, 3.634], [0.896, -7.992, -2.498], [8.737, 2.523, 2.349]], "species": ["Pu", "Pu", "Pu", "Se", "Se", "Se", "Se", "Se", "Se", "La", "La", "Tb"], "frac_coords": [[0.832, 0.166, 0.663], [0.168, 0.834, 0.337], [0.500, 0.500, 0.000], [0.665, 0.074, 0.329], [0.664, 0.591, 0.328], [0.335, 0.926, 0.671], [0.004, 0.755, 0.008], [0.996, 0.245, 0.992], [0.336, 0.409, 0.672], [0.834, 0.668, 0.669], [0.166, 0.332, 0.331], [0.500, 0.000, 0.000]]}

---

No. 4
{"formula": "La3PuTh2Se6", "functional": "GGA-PBE", "state": "relaxed", "final_energy_ev_per_atom": -7.174, "volume_a3_per_cell": 325.0, "raw_formation_energy_ev_per_atom": -1.7690, "cell": [[-6.001, 0.025, -4.220], [4.895, -5.431, -0.606], [-3.065, -1.834, 6.473]], "species": ["La", "La", "La", "Th", "Th", "Se", "Se", "Se", "Se", "Se", "Se", "Pu"], "frac_coords": [[0.832, 0.168, 0.500], [0.168, 0.832, 0.500], [0.500, 0.500, 0.500], [0.666, 0.334, 0.000], [0.334, 0.666, 0.000], [0.920, 0.590, 0.758], [0.410, 0.080, 0.242], [0.249, 0.249, 0.757], [0.751, 0.751, 0.243], [0.080, 0.410, 0.242], [0.590, 0.920, 0.758], [0.000, 0.000, 0.000]]}

---

No. 5
{"formula": "LaPuTh2Se4", "functional": "GGA-PBE", "state": "relaxed", "final_energy_ev_per_atom": -7.656, "volume_a3_per_cell": 211.7, "raw_formation_energy_ev_per_atom": -1.6510, "cell": [[-1.534, -2.196, 3.225], [-2.026, -5.284, -4.562], [6.844, -1.323, 2.355]], "species": ["Pu", "Se", "Se", "Se", "Se", "La", "Th", "Th"], "frac_coords": [[0.500, 0.500, 0.000], [0.000, 0.257, 0.754], [0.500, 0.255, 0.250], [0.000, 0.743, 0.246], [0.500, 0.745, 0.750], [0.000, 0.000, 0.000], [0.000, 0.500, 0.500], [0.500, 0.000, 0.500]]}

---

No. 6
{"formula": "LaPu2Th3Se6", "functional": "GGA-PBE", "state": "relaxed", "final_energy_ev_per_atom": -8.014, "volume_a3_per_cell": 314.0, "raw_formation_energy_ev_per_atom": -1.6176, "cell": [[-2.780, -6.656, 0.243], [1.944, 2.867, -6.331], [6.672, -1.380, 2.794]], "species": ["Se", "Se", "Se", "Se", "Se", "Se", "Th", "Th", "Th", "Pu", "Pu", "La"], "frac_coords": [[0.083, 0.424, 0.248], [0.917, 0.576, 0.752], [0.262, 0.262, 0.759], [0.576, 0.917, 0.752], [0.738, 0.738, 0.241], [0.424, 0.083, 0.248], [0.500, 0.500, 0.500], [0.162, 0.838, 0.500], [0.838, 0.162, 0.500], [0.668, 0.332, 0.000], [0.332, 0.668, 0.000], [0.000, 0.000, 0.000]]}

---

No. 7
{"formula": "La2PuTl3Se6", "functional": "GGA-PBE", "state": "relaxed", "final_energy_ev_per_atom": -5.674, "volume_a3_per_cell": 382.3, "raw_formation_energy_ev_per_atom": -1.3250, "cell": [[-0.843, 4.482, -6.060], [-5.989, -3.668, 2.864], [0.833, 5.689, 5.676]], "species": ["Se", "Se", "Se", "Se", "Se", "Se", "Tl", "Tl", "Tl", "Pu", "La", "La"], "frac_coords": [[0.745, 0.745, 0.211], [0.070, 0.395, 0.209], [0.930, 0.605, 0.791], [0.605, 0.930, 0.791], [0.395, 0.070, 0.209], [0.255, 0.255, 0.789], [0.167, 0.833, 0.500], [0.500, 0.500, 0.500], [0.833, 0.167, 0.500], [0.000, 0.000, 0.000], [0.667, 0.333, 0.000], [0.333, 0.667, 0.000]]}

---

No. 8
{"formula": "La3PuTl4Se8", "functional": "GGA-PBE", "state": "relaxed", "final_energy_ev_per_atom": -5.511, "volume_a3_per_cell": 512.5, "raw_formation_energy_ev_per_atom": -1.3577, "cell": [[8.779, 0.000, 0.000], [0.000, 9.197, 0.287], [-4.389, -4.385, 6.211]], "species": ["Se", "Se", "Se", "Se", "Se", "Se", "Se", "Se", "Pu", "La", "La", "La", "Tl", "Tl", "Tl", "Tl"], "frac_coords": [[0.233, 0.709, 0.465], [0.744, 0.709, 0.976], [0.767, 0.291, 0.535], [0.233, 0.709, 0.976], [0.262, 0.287, 0.525], [0.256, 0.291, 0.024], [0.767, 0.291, 0.024], [0.738, 0.713, 0.475], [0.000, 0.500, 0.000], [0.500, 0.500, 0.000], [0.500, 0.500, 0.500], [0.000, 0.500, 0.500], [0.000, 0.000, 0.000], [0.500, 0.000, 0.000], [0.000, 0.000, 0.500], [0.500, 0.000, 0.500]]}

---

No. 9
{"formula": "LaPu2Tl3Se6", "functional": "GGA-PBE", "state": "relaxed", "final_energy_ev_per_atom": -6.347, "volume_a3_per_cell": 371.0, "raw_formation_energy_ev_per_atom": -1.2144, "cell": [[7.460, 0.001, 0.001], [-3.728, 6.462, 0.001], [-1.244, -2.154, 7.695]], "species": ["Tl", "Tl", "Tl", "Pu", "Pu", "Se", "Se", "Se", "Se", "Se", "Se", "La"], "frac_coords": [[0.166, 0.834, 0.500], [0.500, 0.500, 0.500], [0.834, 0.166, 0.500], [0.333, 0.667, 0.000], [0.667, 0.333, 0.000], [0.413, 0.069, 0.207], [0.931, 0.587, 0.793], [0.069, 0.413, 0.207], [0.587, 0.931, 0.793], [0.724, 0.724, 0.205], [0.276, 0.276, 0.795], [0.000, 0.000, 0.000]]}

---

No. 10
{"formula": "LaTm2PuSe4", "functional": "GGA-PBE", "state": "relaxed", "final_energy_ev_per_atom": -7.000, "volume_a3_per_cell": 198.6, "raw_formation_energy_ev_per_atom": -1.7328, "cell": [[-1.001, -3.892, 0.734], [6.868, -1.833, -0.352], [-1.623, 1.705, 6.825]], "species": ["Pu", "Se", "Se", "Se", "Se", "Tm", "Tm", "La"], "frac_coords": [[0.500, 0.500, 0.000], [0.500, 0.739, 0.730], [0.000, 0.250, 0.734], [0.500, 0.261, 0.270], [0.000, 0.750, 0.266], [0.000, 0.500, 0.500], [0.500, 0.000, 0.500], [0.000, 0.000, 0.000]]}

---

No. 11
{"formula": "LaTmPu2Se4", "functional": "GGA-PBE", "state": "relaxed", "final_energy_ev_per_atom": -8.175, "volume_a3_per_cell": 203.7, "raw_formation_energy_ev_per_atom": -1.6754, "cell": [[-3.577, -1.661, 1.278], [3.506, -6.096, 1.894], [-0.106, 4.502, 5.555]], "species": ["Tm", "Se", "Se", "Se", "Se", "La", "Pu", "Pu"], "frac_coords": [[0.500, 0.500, 0.000], [0.500, 0.263, 0.254], [0.500, 0.737, 0.746], [0.000, 0.261, 0.754], [0.000, 0.739, 0.246], [0.000, 0.000, 0.000], [0.000, 0.500, 0.500], [0.500, 0.000, 0.500]]}

---

No. 12
{"formula": "La3TmPu2Se6", "functional": "GGA-PBE", "state": "relaxed", "final_energy_ev_per_atom": -7.529, "volume_a3_per_cell": 316.5, "raw_formation_energy_ev_per_atom": -1.7939, "cell": [[-4.893, 5.019, -1.903], [1.944, -5.155, -4.732], [-4.108, -4.028, 4.557]], "species": ["Se", "Se", "Se", "Se", "Se", "Se", "La", "La", "La", "Pu", "Pu", "Tm"], "frac_coords": [[0.405, 0.077, 0.233], [0.752, 0.752, 0.236], [0.595, 0.923, 0.767], [0.248, 0.248, 0.764], [0.077, 0.405, 0.233], [0.923, 0.595, 0.767], [0.169, 0.831, 0.500], [0.500, 0.500, 0.500], [0.831, 0.169, 0.500], [0.666, 0.334, 0.000], [0.334, 0.666, 0.000], [0.000, 0.000, 0.000]]}

---

No. 13
{"formula": "La4Y3PuSe8", "functional": "GGA-PBE", "state": "relaxed", "final_energy_ev_per_atom": -6.945, "volume_a3_per_cell": 421.4, "raw_formation_energy_ev_per_atom": -1.8627, "cell": [[8.389, 0.000, 0.000], [0.000, 8.443, 0.032], [-4.194, -4.190, 5.934]], "species": ["Y", "Y", "Y", "Se", "Se", "Se", "Se", "Se", "Se", "Se", "Se", "La", "La", "La", "La", "Pu"], "frac_coords": [[0.000, 0.500, 0.500], [0.500, 0.500, 0.500], [0.500, 0.500, 0.000], [0.754, 0.266, 0.508], [0.246, 0.734, 0.492], [0.744, 0.732, 0.488], [0.258, 0.266, 0.012], [0.742, 0.734, 0.988], [0.256, 0.268, 0.512], [0.754, 0.266, 0.012], [0.246, 0.734, 0.988], [0.000, 0.000, 0.500], [0.000, 0.000, 0.000], [0.500, 0.000, 0.000], [0.500, 0.000, 0.500], [0.000, 0.500, 0.000]]}

---

No. 14
{"formula": "La3Y3PuSe8", "functional": "GGA-PBE", "state": "relaxed", "final_energy_ev_per_atom": -6.964, "volume_a3_per_cell": 415.1, "raw_formation_energy_ev_per_atom": -1.8713, "cell": [[-3.493, 6.059, -4.492], [4.419, -5.948, -3.767], [-7.526, -1.882, 3.314]], "species": ["Se", "Se", "Se", "Se", "Se", "Se", "Se", "Se", "Y", "Y", "Y", "La", "La", "La", "Pu"], "frac_coords": [[0.251, 0.989, 0.739], [0.262, 0.011, 0.261], [0.749, 0.498, 0.260], [0.256, 0.511, 0.267], [0.749, 0.011, 0.261], [0.251, 0.502, 0.740], [0.744, 0.489, 0.733], [0.738, 0.989, 0.739], [0.500, 0.500, 0.500], [0.000, 0.500, 0.500], [0.500, 0.000, 0.500], [0.000, 0.000, 0.000], [0.000, 0.500, 0.000], [0.500, 0.500, 0.000], [0.000, 0.000, 0.500]]}

---

No. 15
{"formula": "La2Y3PuSe6", "functional": "GGA-PBE", "state": "relaxed", "final_energy_ev_per_atom": -7.195, "volume_a3_per_cell": 308.2, "raw_formation_energy_ev_per_atom": -1.8210, "cell": [[4.144, 0.000, 0.000], [0.000, 8.399, 0.255], [-2.072, -2.466, 8.780]], "species": ["Se", "Se", "Se", "Se", "Se", "Se", "Pu", "La", "La", "Y", "Y", "Y"], "frac_coords": [[0.995, 0.251, 0.991], [0.333, 0.927, 0.665], [0.667, 0.073, 0.335], [0.005, 0.749, 0.009], [0.337, 0.406, 0.674], [0.663, 0.594, 0.326], [0.500, 0.000, 0.000], [0.835, 0.668, 0.669], [0.165, 0.332, 0.331], [0.168, 0.836, 0.335], [0.500, 0.500, 0.000], [0.832, 0.164, 0.665]]}

---

No. 16
{"formula": "LaY2PuSe4", "functional": "GGA-PBE", "state": "relaxed", "final_energy_ev_per_atom": -7.547, "volume_a3_per_cell": 203.7, "raw_formation_energy_ev_per_atom": -1.7815, "cell": [[4.136, 0.000, 0.000], [0.000, 7.205, 0.138], [0.000, -2.504, 6.788]], "species": ["Se", "Se", "Se", "Se", "Pu", "Y", "Y", "La"], "frac_coords": [[0.500, 0.740, 0.737], [0.500, 0.260, 0.263], [0.000, 0.748, 0.259], [0.000, 0.252, 0.741], [0.500, 0.500, 0.000], [0.500, 0.000, 0.500], [0.000, 0.500, 0.500], [0.000, 0.000, 0.000]]}

---

No. 17
{"formula": "La2YPuSe4", "functional": "GGA-PBE", "state": "relaxed", "final_energy_ev_per_atom": -7.408, "volume_a3_per_cell": 211.9, "raw_formation_energy_ev_per_atom": -1.8341, "cell": [[4.194, 0.000, 0.000], [0.000, 7.285, 0.135], [0.000, -2.538, 6.886]], "species": ["Se", "Se", "Se", "Se", "Pu", "La", "La", "Y"], "frac_coords": [[0.000, 0.253, 0.764], [0.500, 0.242, 0.234], [0.500, 0.758, 0.766], [0.000, 0.747, 0.236], [0.500, 0.500, 0.000], [0.000, 0.500, 0.500], [0.500, 0.000, 0.500], [0.000, 0.000, 0.000]]}

---

No. 18
{"formula": "LaYPu2Se4", "functional": "GGA-PBE", "state": "relaxed", "final_energy_ev_per_atom": -8.455, "volume_a3_per_cell": 206.1, "raw_formation_energy_ev_per_atom": -1.7059, "cell": [[-3.117, 2.701, -0.588], [-4.716, -4.840, 2.761], [2.573, 4.122, 5.295]], "species": ["Se", "Se", "Se", "Se", "La", "Pu", "Pu", "Y"], "frac_coords": [[0.000, 0.743, 0.251], [0.500, 0.739, 0.744], [0.000, 0.257, 0.749], [0.500, 0.261, 0.256], [0.000, 0.000, 0.000], [0.500, 0.000, 0.500], [0.000, 0.500, 0.500], [0.500, 0.500, 0.000]]}

---

No. 19
{"formula": "LaPu2Si2", "functional": "GGA-PBE", "state": "relaxed", "final_energy_ev_per_atom": -9.276, "volume_a3_per_cell": 232.1, "de_polymorph_mev_per_atom": 0.0, "raw_formation_energy_ev_per_atom": -0.3886, "cell": [[-0.210, -3.183, -2.380], [-2.652, -1.953, 6.173], [-7.911, 2.476, -2.615]], "species": ["Pu", "Pu", "Pu", "Pu", "La", "La", "Si", "Si", "Si", "Si"], "frac_coords": [[0.866, 0.731, 0.743], [0.134, 0.269, 0.243], [0.322, 0.644, 0.920], [0.678, 0.356, 0.420], [0.592, 0.183, 0.844], [0.408, 0.817, 0.344], [0.223, 0.445, 0.644], [0.958, 0.916, 0.053], [0.042, 0.084, 0.553], [0.777, 0.555, 0.144]]}

---

No. 20
{"formula": "LaPu2Si", "functional": "GGA-PBE", "state": "relaxed", "final_energy_ev_per_atom": -9.751, "volume_a3_per_cell": 95.6, "de_polymorph_mev_per_atom": 204.8, "raw_formation_energy_ev_per_atom": 0.0026, "cell": [[5.131, 0.000, 0.000], [2.566, 4.444, 0.000], [2.566, 1.481, 4.191]], "species": ["La", "Si", "Pu", "Pu"], "frac_coords": [[0.500, 0.500, 0.500], [0.000, 0.000, 0.000], [0.250, 0.250, 0.250], [0.750, 0.750, 0.750]]}

---

No. 21
{"formula": "LaPu3Si2", "functional": "GGA-PBE", "state": "relaxed", "final_energy_ev_per_atom": -10.148, "volume_a3_per_cell": 269.8, "raw_formation_energy_ev_per_atom": -0.3533, "cell": [[-3.812, -0.106, 2.132], [-1.516, -6.430, -3.031], [3.753, -3.956, 6.515]], "species": ["Pu", "Pu", "Pu", "Pu", "Pu", "Pu", "Si", "Si", "Si", "Si", "La", "La"], "frac_coords": [[0.000, 0.424, 0.935], [0.500, 0.594, 0.233], [0.000, 0.416, 0.237], [0.500, 0.094, 0.767], [0.000, 0.916, 0.763], [0.000, 0.924, 0.065], [0.000, 0.281, 0.604], [0.500, 0.714, 0.911], [0.500, 0.214, 0.089], [0.000, 0.781, 0.396], [0.500, 0.572, 0.574], [0.500, 0.072, 0.426]]}

---

No. 22
{"formula": "LaPuSi", "functional": "GGA-PBE", "state": "relaxed", "final_energy_ev_per_atom": -8.429, "volume_a3_per_cell": 88.2, "de_polymorph_mev_per_atom": 245.7, "raw_formation_energy_ev_per_atom": -0.2013, "cell": [[-0.167, 4.552, 2.052], [-2.994, 3.503, -1.932], [-4.069, 1.465, 2.502]], "species": ["Si", "La", "Pu"], "frac_coords": [[0.250, 0.250, 0.250], [0.500, 0.500, 0.500], [0.000, 0.000, 0.000]]}